Entry 1:
Computed, not measured: an optimized crystal structure of Be2AlC at the PBE level of DFT.

The value obtained for the volume is 168 Å³ per cell.

a b c (Å): 5.5230 5.5230 5.5230
angles (deg): 90.00 90.00 90.00
Space group Fm-3m (No. 225)
Symmetry-distinct sites (fractional):
Be1 0.2500 0.2500 0.2500 x8
Al1 0.0000 0.0000 0.0000 x4
C1 0.0000 0.0000 0.5000 x4



Entry 2:
Computed, not measured: an optimized crystal structure of Be2AlC at the PBE level of DFT.

The value obtained for the volume is 38 Å³ per cell.

a b c (Å): 2.9818 2.9818 4.9831
angles (deg): 90.00 90.00 120.00
Space group P-3m1 (No. 164)
Symmetry-distinct sites (fractional):
Be1 0.3333 0.6667 0.1168 x2
Al1 0.0000 0.0000 0.5000 x1
C1 0.0000 0.0000 0.0000 x1



Entry 3:
Computed, not measured: an optimized crystal structure of Be3AlC at the PBE level of DFT.

The value obtained for the volume is 48 Å³ per cell.

a b c (Å): 2.9597 3.9518 4.3827
angles (deg): 105.44 100.52 97.25
Space group P1 (No. 1)
Symmetry-distinct sites (fractional):
Be1 0.0000 0.0000 0.0000 x1
Be2 0.1372 0.0157 0.4972 x1
Be3 0.8385 0.4816 0.6293 x1
Al1 0.4973 0.5430 0.0921 x1
C1 0.5921 0.1134 0.2721 x1



Entry 4:
Computed, not measured: an optimized crystal structure of BeAl3C at the PBE level of DFT.

The value obtained for the volume is 64 Å³ per cell.

a b c (Å): 3.9959 3.9959 3.9959
angles (deg): 90.00 90.00 90.00
Space group Pm-3m (No. 221)
Symmetry-distinct sites (fractional):
Be1 0.0000 0.0000 0.0000 x1
Al1 0.0000 0.5000 0.5000 x3
C1 0.5000 0.5000 0.5000 x1



Entry 5:
Computed, not measured: an optimized crystal structure of BeAl2C at the PBE level of DFT.

The value obtained for the volume is 184 Å³ per cell.

a b c (Å): 5.6913 5.6913 5.6913
angles (deg): 90.00 90.00 90.00
Space group Fm-3m (No. 225)
Symmetry-distinct sites (fractional):
Be1 0.0000 0.0000 0.0000 x4
Al1 0.2500 0.2500 0.2500 x8
C1 0.0000 0.0000 0.5000 x4



Entry 6:
Computed, not measured: an optimized crystal structure of Be2AlC at the PBE level of DFT.

The value obtained for the volume is 79 Å³ per cell.

a b c (Å): 3.0133 4.6217 5.7021
angles (deg): 90.00 90.00 90.00
Space group Pmmn (No. 59, origin choice 2)
Symmetry-distinct sites (fractional):
Be1 0.2500 0.0214 0.1313 x4
Al1 0.2500 0.7500 0.5416 x2
C1 0.2500 0.7500 0.9015 x2



| no. | formation enthalpy at 0 K (eV/atom) |
| --- | --- |
| 1 | 1.3794 |
| 2 | 0.0693 |
| 3 | 0.2188 |
| 4 | 0.4662 |
| 5 | 1.0548 |
| 6 | -0.0091 |